No. 1
Entry from the Alexandria database: a relaxed BaBePt2I crystal (PBE).

Unit cell a=4.564 b=4.564 c=5.743 alpha=90.00 beta=90.00 gamma=90.00
Space group P4/mmm (No. 123)
Inequivalent atoms, fractional coordinates:
Ba 0.000 0.000 0.000 x1
Be 0.500 0.500 0.500 x1
Pt 0.000 0.500 0.500 x2
I 0.500 0.500 0.000 x1

Output
The calculation puts the formation energy without anion corrections at -0.334 eV/atom. The volume comes out at 120 Å³ per cell. The value obtained for the total magnetization is 0.00 μB per formula unit.

***

No. 2
Entry from the Alexandria database: a relaxed BaBeSi2I crystal (PBE).

Unit cell a=4.585 b=4.585 c=6.670 alpha=90.00 beta=90.00 gamma=90.00
Space group P4/mmm (No. 123)
Inequivalent atoms, fractional coordinates:
Ba 0.000 0.000 0.000 x1
Be 0.000 0.000 0.500 x1
Si 0.000 0.500 0.500 x2
I 0.500 0.500 0.000 x1

Output
The calculation puts the formation energy without anion corrections at 0.082 eV/atom. The volume comes out at 140 Å³ per cell. The value obtained for the total magnetization is 0.00 μB per formula unit.

***

No. 3
Entry from the Alexandria database: a relaxed Ba2BeSnI crystal (PBE).

Unit cell a=6.554 b=6.554 c=4.782 alpha=90.00 beta=90.00 gamma=90.00
Space group P4/mmm (No. 123)
Inequivalent atoms, fractional coordinates:
Ba 0.000 0.500 0.000 x2
Be 0.000 0.000 0.500 x1
Sn 0.500 0.500 0.500 x1
I 0.000 0.000 0.000 x1

Output
The calculation puts the formation energy without anion corrections at 0.071 eV/atom. The volume comes out at 205 Å³ per cell. The value obtained for the total magnetization is 0.00 μB per formula unit.